[1]
Below is LiAc8Rh4 after structural relaxation, with properties calculated at the PBE level.

Cell: 10.6471 10.6471 14.1847 Å, 129.80 129.80 23.65°
Element x y z (fractional)
Li: 0.0000 0.0000 0.0000
Ac: 0.0410 0.0410 0.7405
Ac: 0.2943 0.2943 0.9285
Ac: 0.3353 0.3353 0.6630
Ac: 0.3682 0.3682 0.4104
Ac: 0.6324 0.6324 0.5898
Ac: 0.6651 0.6651 0.3370
Ac: 0.7061 0.7061 0.0716
Ac: 0.9594 0.9594 0.2595
Rh: 0.1457 0.1457 0.4601
Rh: 0.3361 0.3361 0.1732
Rh: 0.6642 0.6642 0.8267
Rh: 0.8546 0.8546 0.5397

The formation energy from the elements comes out at -6.28 eV/f.u. The uncorrected energy is -70.47 eV/cell. As for the crystal system: monoclinic.

[2]
Below is Li2AcRh2 after structural relaxation, with properties calculated at the PBE level.

Cell: 4.5554 4.5554 8.8484 Å, 90.00 90.00 90.00°
Element x y z (fractional)
Li: 0.0000 0.0000 0.1403
Li: 0.0000 0.0000 0.8597
Li: 0.5000 0.5000 0.3597
Li: 0.5000 0.5000 0.6403
Ac: 0.0000 0.0000 0.5000
Ac: 0.5000 0.5000 0.0000
Rh: 0.0000 0.5000 0.2500
Rh: 0.0000 0.5000 0.7500
Rh: 0.5000 0.0000 0.2500
Rh: 0.5000 0.0000 0.7500

The calculation puts the energy above the lowest structure with this stoichiometry at 0 meV per atom. The formation energy from the elements comes out at -1.46 eV/f.u. The uncorrected energy is -48.20 eV/cell. As for the crystal system: tetragonal.

[3]
Below is LiAcRh after structural relaxation, with properties calculated at the PBE level.

Cell: 8.0194 8.0194 8.0194 Å, 35.33 35.33 35.33°
Element x y z (fractional)
Li: 0.1385 0.1385 0.1385
Li: 0.8615 0.8615 0.8615
Ac: 0.3933 0.3933 0.3933
Ac: 0.6067 0.6067 0.6067
Rh: 0.2530 0.2530 0.2530
Rh: 0.7470 0.7470 0.7470

The calculation puts the energy above the lowest structure with this stoichiometry at 186 meV per atom. The formation energy from the elements comes out at -0.89 eV/f.u. The uncorrected energy is -28.53 eV/cell. As for the crystal system: trigonal.

[4]
Below is Li6AcRh6 after structural relaxation, with properties calculated at the PBE level.

Cell: 6.8756 6.8756 6.8756 Å, 135.86 99.63 96.61°
Element x y z (fractional)
Li: 0.1400 0.1400 0.0000
Li: 0.1548 0.5000 0.6548
Li: 0.2861 0.7861 0.5000
Li: 0.7139 0.2139 0.5000
Li: 0.8452 0.5000 0.3452
Li: 0.8600 0.8600 0.0000
Ac: 0.5000 0.5000 0.0000
Rh: 0.0000 0.0000 0.5000
Rh: 0.0000 0.5000 0.0000
Rh: 0.2695 0.0000 0.2695
Rh: 0.5000 0.0000 0.0000
Rh: 0.5000 0.5000 0.5000
Rh: 0.7305 0.0000 0.7305

The formation energy from the elements comes out at -3.11 eV/f.u. The uncorrected energy is -62.81 eV/cell. As for the crystal system: orthorhombic.

[5]
Below is LiAc2Sb3Rh4 after structural relaxation, with properties calculated at the PBE level.

Cell: 4.4441 4.4441 11.1145 Å, 90.00 90.00 90.00°
Element x y z (fractional)
Li: 0.0000 0.0000 0.0000
Ac: 0.0000 0.5000 0.7588
Ac: 0.5000 0.0000 0.2412
Sb: 0.0000 0.5000 0.3691
Sb: 0.5000 0.0000 0.6309
Sb: 0.5000 0.5000 0.0000
Rh: 0.0000 0.0000 0.5000
Rh: 0.0000 0.5000 0.1344
Rh: 0.5000 0.0000 0.8656
Rh: 0.5000 0.5000 0.5000

Its raw formation energy is -0.809 eV/atom. The uncorrected energy is -59.99 eV/cell. As for the crystal system: tetragonal.

[6]
Below is LiAc2Sb4Rh3 after structural relaxation, with properties calculated at the PBE level.

Cell: 4.6842 4.6842 10.5908 Å, 90.00 90.00 90.00°
Element x y z (fractional)
Li: 0.0000 0.0000 0.0000
Ac: 0.0000 0.5000 0.7544
Ac: 0.5000 0.0000 0.2456
Sb: 0.0000 0.0000 0.5000
Sb: 0.0000 0.5000 0.1300
Sb: 0.5000 0.0000 0.8700
Sb: 0.5000 0.5000 0.5000
Rh: 0.0000 0.5000 0.3817
Rh: 0.5000 0.0000 0.6183
Rh: 0.5000 0.5000 0.0000

Its raw formation energy is -0.850 eV/atom. The uncorrected energy is -57.18 eV/cell. As for the crystal system: tetragonal.

[7]
Below is LiAcSi2Rh after structural relaxation, with properties calculated at the PBE level.

Cell: 4.3574 4.3574 9.9867 Å, 90.00 90.00 90.00°
Element x y z (fractional)
Li: 0.0000 0.0000 0.0000
Li: 0.5000 0.5000 0.5000
Ac: 0.0000 0.5000 0.2500
Ac: 0.5000 0.0000 0.7500
Si: 0.0000 0.5000 0.6263
Si: 0.0000 0.5000 0.8737
Si: 0.5000 0.0000 0.1263
Si: 0.5000 0.0000 0.3737
Rh: 0.0000 0.0000 0.5000
Rh: 0.5000 0.5000 0.0000

Its raw formation energy is -0.670 eV/atom. The uncorrected energy is -55.14 eV/cell. As for the crystal system: tetragonal.

[8]
Below is LiAcSn2Rh after structural relaxation, with properties calculated at the PBE level.

Cell: 4.6543 4.6543 11.0720 Å, 90.00 90.00 90.00°
Element x y z (fractional)
Li: 0.0000 0.0000 0.0000
Li: 0.5000 0.5000 0.5000
Ac: 0.0000 0.5000 0.2500
Ac: 0.5000 0.0000 0.7500
Sn: 0.0000 0.5000 0.6179
Sn: 0.0000 0.5000 0.8821
Sn: 0.5000 0.0000 0.1179
Sn: 0.5000 0.0000 0.3821
Rh: 0.0000 0.0000 0.5000
Rh: 0.5000 0.5000 0.0000

The formation energy from the elements comes out at -3.04 eV/f.u. The uncorrected energy is -48.84 eV/cell. As for the crystal system: tetragonal.

[9]
Below is LiAc2Sn4Rh3 after structural relaxation, with properties calculated at the PBE level.

Cell: 4.6952 4.6952 10.5759 Å, 90.00 90.00 90.00°
Element x y z (fractional)
Li: 0.0000 0.0000 0.0000
Ac: 0.0000 0.5000 0.7539
Ac: 0.5000 0.0000 0.2461
Sn: 0.0000 0.0000 0.5000
Sn: 0.0000 0.5000 0.1237
Sn: 0.5000 0.0000 0.8763
Sn: 0.5000 0.5000 0.5000
Rh: 0.0000 0.5000 0.3729
Rh: 0.5000 0.0000 0.6271
Rh: 0.5000 0.5000 0.0000

The formation energy from the elements comes out at -6.95 eV/f.u. The uncorrected energy is -55.15 eV/cell. As for the crystal system: tetragonal.

[10]
Below is LiAcSn2Rh4 after structural relaxation, with properties calculated at the PBE level.

Cell: 9.0962 9.0962 9.0962 Å, 28.37 28.37 28.37°
Element x y z (fractional)
Li: 0.0000 0.0000 0.0000
Ac: 0.5000 0.5000 0.5000
Sn: 0.2666 0.2666 0.2666
Sn: 0.7334 0.7334 0.7334
Rh: 0.0964 0.0964 0.0964
Rh: 0.3695 0.3695 0.3695
Rh: 0.6305 0.6305 0.6305
Rh: 0.9036 0.9036 0.9036

The formation energy from the elements comes out at -4.92 eV/f.u. The uncorrected energy is -48.35 eV/cell. As for the crystal system: trigonal.

[11]
Below is LiAc2Sn2Rh after structural relaxation, with properties calculated at the PBE level.

Cell: 8.7388 8.7388 8.7388 Å, 134.28 66.23 134.82°
Element x y z (fractional)
Li: 0.2500 0.2500 0.0000
Li: 0.7500 0.7500 0.0000
Ac: 0.1535 0.7324 0.8859
Ac: 0.3465 0.2324 0.5789
Ac: 0.6535 0.7676 0.4211
Ac: 0.8465 0.2676 0.1141
Sn: 0.0997 0.2449 0.3447
Sn: 0.4003 0.7449 0.1452
Sn: 0.5997 0.2551 0.8548
Sn: 0.9003 0.7551 0.6553
Rh: 0.2500 0.7500 0.5000
Rh: 0.7500 0.2500 0.5000

The formation energy from the elements comes out at -3.83 eV/f.u. The uncorrected energy is -58.63 eV/cell. As for the crystal system: orthorhombic.

[12]
Below is Li2AcSnRh after structural relaxation, with properties calculated at the PBE level.

Cell: 3.9370 4.4276 12.6734 Å, 90.00 90.00 90.00°
Element x y z (fractional)
Li: 0.0000 0.0000 0.0000
Li: 0.0000 0.5000 0.3451
Li: 0.5000 0.0000 0.8451
Li: 0.5000 0.5000 0.5000
Ac: 0.0000 0.5000 0.7134
Ac: 0.5000 0.0000 0.2134
Sn: 0.0000 0.0000 0.4823
Sn: 0.5000 0.5000 0.9823
Rh: 0.0000 0.5000 0.1356
Rh: 0.5000 0.0000 0.6356

The formation energy from the elements comes out at -2.28 eV/f.u. The uncorrected energy is -43.15 eV/cell. As for the crystal system: orthorhombic.